(1)
ScWAu2 after structural relaxation. Source: the Alexandria database, functional PBE.

Lattice parameters (Å, degrees): 2.912 4.154 5.872 90.00 90.00 90.00
Space group Pmmm (No. 47)
Unique sites:
Sc: 0.000 0.000 0.000 [1 per cell]
W: 0.000 0.000 0.500 [1 per cell]
Au: 0.500 0.500 0.259 [2 per cell]

Summary:
* total magnetic moment: 0.0 μB per cell
* ΔE_f: -0.013 eV/atom
* polymorph energy (0 for the lowest one): 26.6 meV/atom


(2)
ScW2Au after structural relaxation. Source: the Alexandria database, functional PBE.

Lattice parameters (Å, degrees): 7.721 7.721 5.212 90.00 90.00 90.00
Space group I-42d (No. 122)
Unique sites:
Sc: 0.000 0.000 0.000 [4 per cell]
W: 0.223 0.750 0.625 [8 per cell]
Au: 0.000 0.000 0.500 [4 per cell]

Summary:
* total magnetic moment: 0.0 μB per cell
* ΔE_f: 0.828 eV/atom
* polymorph energy (0 for the lowest one): 801.3 meV/atom


(3)
ScWAu2 after structural relaxation. Source: the Alexandria database, functional PBE.

Lattice parameters (Å, degrees): 9.678 2.945 5.124 90.00 101.32 90.00
Space group Cm (No. 8)
Unique sites:
Sc: 0.000 0.000 0.000 [2 per cell]
W: 0.257 0.000 0.706 [2 per cell]
Au: 0.008 0.500 0.511 [2 per cell]
Au: 0.255 0.500 0.218 [2 per cell]

Summary:
* total magnetic moment: 0.0 μB per cell
* ΔE_f: -0.006 eV/atom
* polymorph energy (0 for the lowest one): 34.0 meV/atom


(4)
ScW2Au after structural relaxation. Source: the Alexandria database, functional PBE.

Lattice parameters (Å, degrees): 2.8830 2.8830 29.2658 90.00 90.00 120.00
Space group R3m (No. 160, hexagonal axes)
Unique sites:
Sc: 0.0000 0.0000 0.0000 [3 per cell]
W: 0.0000 0.0000 0.4992 [3 per cell]
W: 0.0000 0.0000 0.7508 [3 per cell]
Au: 0.0000 0.0000 0.2493 [3 per cell]

Summary:
* total magnetic moment: 0.0 μB per cell
* ΔE_f: 0.308 eV/atom
* polymorph energy (0 for the lowest one): 281.7 meV/atom


(5)
ScWAu2 after structural relaxation. Source: the Alexandria database, functional PBE.

Lattice parameters (Å, degrees): 3.0201 3.0201 27.8509 90.00 90.00 120.00
Space group R3m (No. 160, hexagonal axes)
Unique sites:
Sc: 0.0000 0.0000 0.0000 [3 per cell]
W: 0.0000 0.0000 0.7501 [3 per cell]
Au: 0.0000 0.0000 0.2508 [3 per cell]
Au: 0.0000 0.0000 0.4966 [3 per cell]

Summary:
* total magnetic moment: 0.0 μB per cell
* ΔE_f: 0.126 eV/atom
* polymorph energy (0 for the lowest one): 165.6 meV/atom


(6)
ScW2Au after structural relaxation. Source: the Alexandria database, functional PBE.

Lattice parameters (Å, degrees): 9.481 2.812 5.311 90.00 95.85 90.00
Space group Cm (No. 8)
Unique sites:
Sc: 0.000 0.000 0.000 [2 per cell]
W: 0.236 0.000 0.708 [2 per cell]
W: 0.480 0.000 0.512 [2 per cell]
Au: 0.246 0.500 0.215 [2 per cell]

Summary:
* total magnetic moment: 0.0 μB per cell
* ΔE_f: 0.232 eV/atom
* polymorph energy (0 for the lowest one): 205.2 meV/atom


(7)
ScWAu2 after structural relaxation. Source: the Alexandria database, functional PBE.

Lattice parameters (Å, degrees): 3.009 4.913 9.847 90.00 90.00 90.00
Space group Imm2 (No. 44)
Unique sites:
Sc: 0.000 0.000 0.000 [2 per cell]
W: 0.000 0.500 0.752 [2 per cell]
Au: 0.000 0.000 0.494 [2 per cell]
Au: 0.000 0.500 0.244 [2 per cell]

Summary:
* total magnetic moment: 0.0 μB per cell
* ΔE_f: 0.067 eV/atom
* polymorph energy (0 for the lowest one): 106.3 meV/atom


(8)
ScWAu2 after structural relaxation. Source: the Alexandria database, functional PBE.

Lattice parameters (Å, degrees): 2.971 4.719 5.042 90.00 90.00 90.00
Space group Pmm2 (No. 25)
Unique sites:
Sc: 0.000 0.000 0.000 [1 per cell]
W: 0.000 0.500 0.634 [1 per cell]
Au: 0.500 0.000 0.503 [1 per cell]
Au: 0.500 0.500 0.147 [1 per cell]

Summary:
* total magnetic moment: 0.0 μB per cell
* ΔE_f: -0.024 eV/atom
* polymorph energy (0 for the lowest one): 15.7 meV/atom


(9)
ScWAu2 after structural relaxation. Source: the Alexandria database, functional PBE.

Lattice parameters (Å, degrees): 2.9477 2.9477 28.6119 90.00 90.00 120.00
Space group R-3m (No. 166, hexagonal axes)
Unique sites:
Sc: 0.0000 0.0000 0.0000 [3 per cell]
W: 0.0000 0.0000 0.5000 [3 per cell]
Au: 0.0000 0.0000 0.2494 [6 per cell]

Summary:
* total magnetic moment: 0.0 μB per cell
* ΔE_f: 0.152 eV/atom
* polymorph energy (0 for the lowest one): 191.6 meV/atom


(10)
ScW2Au after structural relaxation. Source: the Alexandria database, functional PBE.

Lattice parameters (Å, degrees): 3.503 4.273 9.326 90.00 90.00 90.00
Space group Immm (No. 71)
Unique sites:
Sc: 0.000 0.000 0.000 [2 per cell]
W: 0.000 0.500 0.253 [4 per cell]
Au: 0.000 0.000 0.500 [2 per cell]

Summary:
* total magnetic moment: 0.0 μB per cell
* ΔE_f: 0.179 eV/atom
* polymorph energy (0 for the lowest one): 152.5 meV/atom


(11)
ScWAu2 after structural relaxation. Source: the Alexandria database, functional PBE.

Lattice parameters (Å, degrees): 5.873 8.154 2.953 90.00 90.00 90.00
Space group Cmmm (No. 65)
Unique sites:
Sc: 0.000 0.000 0.000 [2 per cell]
W: 0.000 0.500 0.000 [2 per cell]
Au: 0.250 0.250 0.500 [4 per cell]

Summary:
* total magnetic moment: 0.0 μB per cell
* ΔE_f: -0.040 eV/atom
* polymorph energy (0 for the lowest one): 0.0 meV/atom


(12)
ScW2Au after structural relaxation. Source: the Alexandria database, functional PBE.

Lattice parameters (Å, degrees): 6.516 6.516 6.516 90.00 90.00 90.00
Space group Fm-3m (No. 225)
Unique sites:
Sc: 0.000 0.000 0.000 [4 per cell]
W: 0.250 0.250 0.250 [8 per cell]
Au: 0.000 0.000 0.500 [4 per cell]

Summary:
* total magnetic moment: 0.0 μB per cell
* ΔE_f: 0.718 eV/atom
* polymorph energy (0 for the lowest one): 691.8 meV/atom


(13)
ScWAu2 after structural relaxation. Source: the Alexandria database, functional PBE.

Lattice parameters (Å, degrees): 5.165 2.832 5.274 90.00 111.72 90.00
Space group P2/m (No. 10)
Unique sites:
Sc: 0.000 0.000 0.000 [1 per cell]
W: 0.000 0.500 0.500 [1 per cell]
Au: 0.500 0.000 0.500 [1 per cell]
Au: 0.500 0.500 0.000 [1 per cell]

Summary:
* total magnetic moment: 0.0 μB per cell
* ΔE_f: 0.098 eV/atom
* polymorph energy (0 for the lowest one): 137.9 meV/atom


(14)
ScWAu3 after structural relaxation. Source: the Alexandria database, functional PBE.

Lattice parameters (Å, degrees): 5.019 5.019 5.019 90.00 90.00 90.00
Space group Pm-3m (No. 221)
Unique sites:
Sc: 0.000 0.000 0.000 [1 per cell]
W: 0.500 0.500 0.500 [1 per cell]
Au: 0.000 0.500 0.500 [3 per cell]

Summary:
* total magnetic moment: 0.6 μB per cell
* ΔE_f: 0.835 eV/atom
* polymorph energy (0 for the lowest one): 0.0 meV/atom


(15)
ScW2Au after structural relaxation. Source: the Alexandria database, functional PBE.

Lattice parameters (Å, degrees): 10.163 3.024 4.708 90.00 102.91 90.00
Space group C2/m (No. 12)
Unique sites:
Sc: 0.000 0.000 0.000 [2 per cell]
W: 0.243 0.000 0.746 [4 per cell]
Au: 0.000 0.500 0.500 [2 per cell]

Summary:
* total magnetic moment: 0.0 μB per cell
* ΔE_f: 0.183 eV/atom
* polymorph energy (0 for the lowest one): 156.0 meV/atom


(16)
ScW2Au after structural relaxation. Source: the Alexandria database, functional PBE.

Lattice parameters (Å, degrees): 2.815 4.108 6.091 90.00 90.00 90.00
Space group Pmm2 (No. 25)
Unique sites:
Sc: 0.000 0.000 0.000 [1 per cell]
W: 0.000 0.000 0.491 [1 per cell]
W: 0.500 0.500 0.278 [1 per cell]
Au: 0.500 0.500 0.766 [1 per cell]

Summary:
* total magnetic moment: 0.0 μB per cell
* ΔE_f: 0.193 eV/atom
* polymorph energy (0 for the lowest one): 166.8 meV/atom


(17)
ScW2Au after structural relaxation. Source: the Alexandria database, functional PBE.

Lattice parameters (Å, degrees): 3.867 3.867 4.652 90.00 90.00 90.00
Space group P4/mmm (No. 123)
Unique sites:
Sc: 0.000 0.000 0.000 [1 per cell]
W: 0.000 0.500 0.500 [2 per cell]
Au: 0.500 0.500 0.000 [1 per cell]

Summary:
* total magnetic moment: 0.0 μB per cell
* ΔE_f: 0.125 eV/atom
* polymorph energy (0 for the lowest one): 98.3 meV/atom


(18)
ScWAu2 after structural relaxation. Source: the Alexandria database, functional PBE.

Lattice parameters (Å, degrees): 2.955 2.955 8.144 90.00 90.00 90.00
Space group P4/mmm (No. 123)
Unique sites:
Sc: 0.000 0.000 0.000 [1 per cell]
W: 0.000 0.000 0.500 [1 per cell]
Au: 0.500 0.500 0.255 [2 per cell]

Summary:
* total magnetic moment: 0.0 μB per cell
* ΔE_f: -0.022 eV/atom
* polymorph energy (0 for the lowest one): 17.4 meV/atom


(19)
ScW2Au after structural relaxation. Source: the Alexandria database, functional PBE.

Lattice parameters (Å, degrees): 2.766 2.766 9.091 90.00 90.00 90.00
Space group P4mm (No. 99)
Unique sites:
Sc: 0.000 0.000 0.000 [1 per cell]
W: 0.000 0.000 0.501 [1 per cell]
W: 0.500 0.500 0.253 [1 per cell]
Au: 0.500 0.500 0.743 [1 per cell]

Summary:
* total magnetic moment: 0.0 μB per cell
* ΔE_f: 0.168 eV/atom
* polymorph energy (0 for the lowest one): 141.1 meV/atom


(20)
ScWAu2 after structural relaxation. Source: the Alexandria database, functional PBE.

Lattice parameters (Å, degrees): 6.627 6.627 6.627 90.00 90.00 90.00
Space group Fm-3m (No. 225)
Unique sites:
Sc: 0.000 0.000 0.000 [4 per cell]
W: 0.000 0.000 0.500 [4 per cell]
Au: 0.250 0.250 0.250 [8 per cell]

Summary:
* total magnetic moment: 3.1 μB per cell
* ΔE_f: 0.110 eV/atom
* polymorph energy (0 for the lowest one): 149.4 meV/atom


(21)
ScWAu2 after structural relaxation. Source: the Alexandria database, functional PBE.

Lattice parameters (Å, degrees): 6.626 6.626 6.626 90.00 90.00 90.00
Space group F-43m (No. 216)
Unique sites:
Sc: 0.000 0.000 0.000 [4 per cell]
W: 0.250 0.250 0.250 [4 per cell]
Au: 0.000 0.000 0.500 [4 per cell]
Au: 0.250 0.250 0.750 [4 per cell]

Summary:
* total magnetic moment: 12.2 μB per cell
* ΔE_f: 0.236 eV/atom
* polymorph energy (0 for the lowest one): 275.3 meV/atom


(22)
ScWAu2 after structural relaxation. Source: the Alexandria database, functional PBE.

Lattice parameters (Å, degrees): 4.019 4.019 19.376 90.00 90.00 90.00
Space group I-42d (No. 122)
Unique sites:
Sc: 0.000 0.000 0.000 [4 per cell]
W: 0.000 0.000 0.500 [4 per cell]
Au: 0.244 0.250 0.625 [8 per cell]

Summary:
* total magnetic moment: 0.0 μB per cell
* ΔE_f: 0.510 eV/atom
* polymorph energy (0 for the lowest one): 550.0 meV/atom


(23)
ScW2Au after structural relaxation. Source: the Alexandria database, functional PBE.

Lattice parameters (Å, degrees): 2.782 4.667 5.480 90.00 90.00 90.00
Space group Pmmm (No. 47)
Unique sites:
Sc: 0.000 0.000 0.000 [1 per cell]
W: 0.500 0.500 0.237 [2 per cell]
Au: 0.000 0.000 0.500 [1 per cell]

Summary:
* total magnetic moment: 0.0 μB per cell
* ΔE_f: 0.335 eV/atom
* polymorph energy (0 for the lowest one): 308.3 meV/atom


(24)
ScWAu2 after structural relaxation. Source: the Alexandria database, functional PBE.

Lattice parameters (Å, degrees): 3.291 3.575 6.128 90.00 90.00 90.00
Space group Pmm2 (No. 25)
Unique sites:
Sc: 0.000 0.000 0.000 [1 per cell]
W: 0.500 0.500 0.279 [1 per cell]
Au: 0.000 0.000 0.498 [1 per cell]
Au: 0.500 0.500 0.764 [1 per cell]

Summary:
* total magnetic moment: 0.0 μB per cell
* ΔE_f: -0.018 eV/atom
* polymorph energy (0 for the lowest one): 21.6 meV/atom


(25)
ScW2Au after structural relaxation. Source: the Alexandria database, functional PBE.

Lattice parameters (Å, degrees): 2.771 2.771 9.108 90.00 90.00 90.00
Space group P4/mmm (No. 123)
Unique sites:
Sc: 0.000 0.000 0.000 [1 per cell]
W: 0.500 0.500 0.258 [2 per cell]
Au: 0.000 0.000 0.500 [1 per cell]

Summary:
* total magnetic moment: 0.0 μB per cell
* ΔE_f: 0.296 eV/atom
* polymorph energy (0 for the lowest one): 269.3 meV/atom


(26)
ScW2Au after structural relaxation. Source: the Alexandria database, functional PBE.

Lattice parameters (Å, degrees): 3.550 4.621 8.619 90.00 90.00 90.00
Space group Imm2 (No. 44)
Unique sites:
Sc: 0.000 0.000 0.000 [2 per cell]
W: 0.000 0.000 0.474 [2 per cell]
W: 0.000 0.500 0.759 [2 per cell]
Au: 0.000 0.500 0.239 [2 per cell]

Summary:
* total magnetic moment: 0.0 μB per cell
* ΔE_f: 0.202 eV/atom
* polymorph energy (0 for the lowest one): 175.3 meV/atom


(27)
ScW2Au after structural relaxation. Source: the Alexandria database, functional PBE.

Lattice parameters (Å, degrees): 6.519 6.519 6.519 90.00 90.00 90.00
Space group F-43m (No. 216)
Unique sites:
Sc: 0.000 0.000 0.000 [4 per cell]
W: 0.000 0.000 0.500 [4 per cell]
W: 0.250 0.250 0.250 [4 per cell]
Au: 0.250 0.250 0.750 [4 per cell]

Summary:
* total magnetic moment: 0.0 μB per cell
* ΔE_f: 0.150 eV/atom
* polymorph energy (0 for the lowest one): 123.2 meV/atom


(28)
ScWAu2 after structural relaxation. Source: the Alexandria database, functional PBE.

Lattice parameters (Å, degrees): 4.085 4.099 8.627 90.00 90.00 90.00
Space group Cmm2 (No. 35)
Unique sites:
Sc: 0.000 0.000 0.000 [2 per cell]
W: 0.000 0.500 0.254 [2 per cell]
Au: 0.000 0.000 0.487 [2 per cell]
Au: 0.000 0.500 0.752 [2 per cell]

Summary:
* total magnetic moment: 0.0 μB per cell
* ΔE_f: -0.035 eV/atom
* polymorph energy (0 for the lowest one): 5.0 meV/atom


(29)
ScW2Au after structural relaxation. Source: the Alexandria database, functional PBE.

Lattice parameters (Å, degrees): 2.9073 2.9073 29.0902 90.00 90.00 120.00
Space group R-3m (No. 166, hexagonal axes)
Unique sites:
Sc: 0.0000 0.0000 0.0000 [3 per cell]
W: 0.0000 0.0000 0.2479 [6 per cell]
Au: 0.0000 0.0000 0.5000 [3 per cell]

Summary:
* total magnetic moment: 0.0 μB per cell
* ΔE_f: 0.459 eV/atom
* polymorph energy (0 for the lowest one): 432.3 meV/atom


(30)
ScW4Au after structural relaxation. Source: the Alexandria database, functional PBE.

Lattice parameters (Å, degrees): 7.564 7.564 7.564 90.00 90.00 90.00
Space group F-43m (No. 216)
Unique sites:
Sc: 0.000 0.000 0.000 [4 per cell]
W: 0.126 0.126 0.374 [16 per cell]
Au: 0.250 0.250 0.750 [4 per cell]

Summary:
* total magnetic moment: 0.0 μB per cell
* ΔE_f: 0.339 eV/atom